First-principles (GGA-PBE) data for a geometry-optimized Mg2CuSi structure, as listed in the Alexandria database.

Summary:
- total moment (μB/cell) = 0.00
- E_tot (eV for the cell shown) = -12.62
- uncorrected formation energy (eV per atom) = 0.0221

a b c (Å): 4.8224 4.8224 2.9070
angles (deg): 90.00 90.00 103.65
Last column: nearest neighbours and their distance in Å.
Atoms (fractional coordinates):
Si 0.5000 0.0000 0.5000  8 Mg 2.82, 2 Si 2.91, 2 Cu 2.98
Cu 0.0000 0.5000 0.5000  8 Mg 2.82, 2 Cu 2.91, 2 Si 2.98
Mg 0.0000 0.0000 0.0000  4 Si 2.82, 4 Cu 2.82, 4 Mg 2.91-2.98
Mg 0.5000 0.5000 0.0000  4 Cu 2.82, 4 Si 2.82, 4 Mg 2.91-2.98


First-principles (GGA-PBE) data for a geometry-optimized SmMg2Cu2Si2 structure, as listed in the Alexandria database.

Summary:
- total moment (μB/cell) = 0.00
- E_tot (eV for the cell shown) = -29.75
- uncorrected formation energy (eV per atom) = -0.4008

a b c (Å): 4.2013 4.2013 8.5277
angles (deg): 75.74 75.74 60.00
Last column: nearest neighbours and their distance in Å.
Atoms (fractional coordinates):
Cu 0.5838 0.5838 0.2486  3 Si 2.43
Cu 0.4162 0.4162 0.7514  3 Si 2.43
Mg 0.1342 0.1342 0.5973  3 Cu 2.73, 4 Si 2.78-2.94, 3 Mg 2.90
Mg 0.8658 0.8658 0.4027  3 Cu 2.73, 4 Si 2.78-2.94, 3 Mg 2.90
Si 0.2542 0.2542 0.2374  3 Cu 2.43
Si 0.7458 0.7458 0.7626  3 Cu 2.43
Sm 0.0000 0.0000 0.0000  6 Si 3.11, 6 Cu 3.16, 2 Mg 3.29


First-principles (GGA-PBE) data for a geometry-optimized SmMg2Cu2Si structure, as listed in the Alexandria database.

Summary:
- total moment (μB/cell) = 0.00
- E_tot (eV for the cell shown) = -21.56
- uncorrected formation energy (eV per atom) = -0.0060

a b c (Å): 4.7882 4.7882 6.4340
angles (deg): 111.85 111.85 90.00
Last column: nearest neighbours and their distance in Å.
Atoms (fractional coordinates):
Si 0.0000 0.0000 0.0000  2 Cu 2.19
Cu 0.7995 0.7995 0.5990  1 Si 2.19, 4 Mg 2.45
Cu 0.2005 0.2005 0.4010  1 Si 2.19, 4 Mg 2.45
Sm 0.5000 0.5000 0.0000  2 Cu 3.28, 4 Si 3.39, 8 Mg 3.64
Mg 0.2500 0.7500 0.5000  4 Cu 2.45
Mg 0.7500 0.2500 0.5000  4 Cu 2.45


Number 1: DOS at the Fermi energy 0.302 states/eV/atom. Number 2: DOS at the Fermi energy 0.210 states/eV/atom. Number 3: DOS at the Fermi energy 0.397 states/eV/atom.